Record 1
An optimized crystal structure of SrLiInPd3. Source: Alexandria, functional PBE.

For the total energy, the calculation gives -4.08 eV/atom.

The space group is Cmcm (No. 63) and the conventional cell measures 6.062, 12.517 and 6.441 Å, with angles of 90.00, 90.00 and 90.00 degrees. The distinct sites, in fractional coordinates, are Sr at (0.000, 0.189, 0.250), Li at (0.000, 0.425, 0.250), In at (0.000, 0.138, 0.750), Pd at (0.000, 0.355, 0.750) and Pd at (0.238, 0.000, 0.000).

***

Record 2
An optimized crystal structure of SrLi2InPd. Source: Alexandria, functional PBE.

For the total energy, the calculation gives -2.99 eV/atom.

The space group is P4/mmm (No. 123) and the conventional cell measures 4.946, 4.946 and 5.208 Å, with angles of 90.00, 90.00 and 90.00 degrees. The distinct sites, in fractional coordinates, are Sr at (0.000, 0.000, 0.000), Li at (0.000, 0.500, 0.500), In at (0.500, 0.500, 0.000) and Pd at (0.500, 0.500, 0.500).

***

Record 3
An optimized crystal structure of SrLi2In4Pd. Source: Alexandria, functional PBE.

For the total energy, the calculation gives -3.10 eV/atom.

The space group is R-3m (No. 166, hexagonal axes) and the conventional cell measures 4.6292, 4.6292 and 30.3068 Å, with angles of 90.00, 90.00 and 120.00 degrees. The distinct sites, in fractional coordinates, are Sr at (0.0000, 0.0000, 0.0000), Li at (0.0000, 0.0000, 0.2266), In at (0.0000, 0.0000, 0.1298), In at (0.0000, 0.0000, 0.4052) and Pd at (0.0000, 0.0000, 0.5000).

***

Record 4
An optimized crystal structure of Sr2LiIn3Pd4. Source: Alexandria, functional PBE.

For the total energy, the calculation gives -4.00 eV/atom.

The space group is P-4m2 (No. 115) and the conventional cell measures 4.558, 4.558 and 11.210 Å, with angles of 90.00, 90.00 and 90.00 degrees. The distinct sites, in fractional coordinates, are Sr at (0.000, 0.500, 0.247), Li at (0.000, 0.000, 0.500), In at (0.000, 0.500, 0.872), In at (0.500, 0.500, 0.500), Pd at (0.000, 0.000, 0.000), Pd at (0.000, 0.500, 0.633) and Pd at (0.500, 0.500, 0.000).

***

Record 5
An optimized crystal structure of SrLiIn2Pd. Source: Alexandria, functional PBE.

For the total energy, the calculation gives -3.21 eV/atom.

The space group is P4/mmm (No. 123) and the conventional cell measures 5.205, 5.205 and 4.975 Å, with angles of 90.00, 90.00 and 90.00 degrees. The distinct sites, in fractional coordinates, are Sr at (0.000, 0.000, 0.000), Li at (0.500, 0.500, 0.000), In at (0.000, 0.500, 0.500) and Pd at (0.500, 0.500, 0.500).

***

Record 6
An optimized crystal structure of Sr2Li12InPd3. Source: Alexandria, functional PBE.

For the total energy, the calculation gives -2.46 eV/atom.

The space group is R-3m (No. 166, hexagonal axes) and the conventional cell measures 8.3443, 8.3443 and 21.8406 Å, with angles of 90.00, 90.00 and 120.00 degrees. The distinct sites, in fractional coordinates, are Sr at (0.0000, 0.0000, 0.0849), Li at (0.0663, 0.5331, 0.8851), Li at (0.1112, 0.2223, 0.6157), In at (0.0000, 0.0000, 0.5000) and Pd at (0.0000, 0.5000, 0.0000).

***

Record 7
An optimized crystal structure of Sr2LiIn5Pd2. Source: Alexandria, functional PBE.

For the total energy, the calculation gives -3.42 eV/atom.

The space group is P4/mbm (No. 127) and the conventional cell measures 10.685, 10.685 and 4.296 Å, with angles of 90.00, 90.00 and 90.00 degrees. The distinct sites, in fractional coordinates, are Sr at (0.180, 0.320, 0.000), Li at (0.000, 0.000, 0.000), In at (0.000, 0.500, 0.500), In at (0.061, 0.795, 0.500) and Pd at (0.118, 0.618, 0.000).

***

Record 8
An optimized crystal structure of Li2Th2InPd5. Source: Alexandria, functional PBE.

For the total energy, the calculation gives -5.35 eV/atom.

The space group is P4/mbm (No. 127) and the conventional cell measures 9.807, 9.807 and 3.753 Å, with angles of 90.00, 90.00 and 90.00 degrees. The distinct sites, in fractional coordinates, are Li at (0.119, 0.381, 0.000), Th at (0.178, 0.678, 0.000), In at (0.000, 0.000, 0.000), Pd at (0.000, 0.500, 0.500) and Pd at (0.068, 0.211, 0.500).